VASP calculation (PBE) on crystalline Ac2PmPr4Sm at its relaxed geometry.

Unit cell a=6.547 b=3.785 c=12.433 alpha=90.00 beta=100.35 gamma=90.00
Fractional positions:
Ac (0.000, 0.000, 0.000)
Ac (0.500, 0.500, 0.000)
Pm (0.000, 0.500, 0.500)
Pr (0.247, 0.000, 0.742)
Pr (0.253, 0.500, 0.258)
Pr (0.747, 0.500, 0.742)
Pr (0.753, 0.000, 0.258)
Sm (0.500, 0.000, 0.500)

Values from the calculation:
Symmetry: P2/m, No. 10
Energy relative to the elements, eV per atom: 0.04
Total magnetization, Bohr magnetons per cell: 0.000